# 1
KBeZn | Alexandria | PBE | optimized geometry; energy above the most stable polymorph in this dataset = 0 meV/atom; V = 64.55 Å³ per cell; DOS at the Fermi energy = 0.350 states/eV/atom; energy of formation = 42.5 kJ/mol of atoms
1.0
6.4880 -0.0045 0.0146
4.7277 4.4434 -0.0146
-5.3019 -2.9924 2.2427
Zn Be K
1 1 1
Direct
0.4014 0.4014 0.0000
0.9310 0.9310 0.0000
0.6675 0.6675 0.0000


# 2
Zn5Sn12Pb3 | Alexandria | PBE | optimized geometry; V = 2449.23 Å³ per cell; DOS at the Fermi energy = 0.580 states/eV/atom; energy of formation = 23.2 kJ/mol of atoms
1.0
-0.6589 -11.6783 8.9165
11.7395 -1.1914 -8.7799
1.1225 12.2577 8.0505
Sn Pb Zn
48 12 20
Direct
0.6668 0.4552 0.5787
0.1668 0.0880 0.7116
0.9213 0.8332 0.5448
0.0880 0.1668 0.2116
0.2884 0.8765 0.9552
0.8765 0.2884 0.4552
0.8332 0.9120 0.2884
0.7116 0.1235 0.0448
0.0787 0.9120 0.1235
0.4213 0.3765 0.5880
0.6668 0.2116 0.5880
0.1235 0.4120 0.0787
0.5787 0.6235 0.4120
0.7116 0.5880 0.1668
0.5448 0.2116 0.1235
0.3765 0.9552 0.7884
0.4120 0.2884 0.3332
0.2116 0.5448 0.6235
0.5880 0.7116 0.6668
0.2116 0.6668 0.0880
0.0448 0.4213 0.8332
0.0880 0.9213 0.3765
0.5880 0.8765 0.4213
0.2884 0.4120 0.8332
0.4552 0.6668 0.0787
0.9120 0.8332 0.7884
0.8765 0.5880 0.9213
0.1668 0.0787 0.9552
0.5448 0.3332 0.9213
0.3765 0.4213 0.0880
0.6235 0.0448 0.2116
0.3332 0.5448 0.4213
0.9120 0.0787 0.6235
0.0448 0.6235 0.7116
0.9552 0.5787 0.1668
0.0787 0.1668 0.4552
0.5787 0.9552 0.6668
0.8332 0.9213 0.0448
0.6235 0.5787 0.9120
0.4213 0.0448 0.3332
0.9213 0.0880 0.8765
0.7884 0.3332 0.9120
0.7884 0.4552 0.3765
0.4120 0.1235 0.5787
0.4552 0.7884 0.8765
0.1235 0.7116 0.5448
0.9552 0.3765 0.2884
0.3332 0.7884 0.4120
0.2500 0.1250 0.3750
0.2500 0.6250 0.8750
0.8750 0.1250 0.2500
0.6250 0.3750 0.7500
0.7500 0.3750 0.1250
0.7500 0.8750 0.6250
0.3750 0.6250 0.2500
0.6250 0.2500 0.3750
0.1250 0.2500 0.8750
0.1250 0.8750 0.7500
0.8750 0.7500 0.1250
0.3750 0.7500 0.6250
0.3750 0.2500 0.1250
0.6250 0.8750 0.2500
0.3750 0.1250 0.7500
0.2500 0.3750 0.6250
0.0000 0.0000 0.5000
0.2500 0.8750 0.1250
0.6250 0.7500 0.8750
0.1250 0.3750 0.2500
0.5000 0.5000 0.0000
0.5000 0.5000 0.5000
0.8750 0.6250 0.7500
0.7500 0.1250 0.8750
0.0000 0.5000 0.5000
0.8750 0.2500 0.6250
0.7500 0.6250 0.3750
0.0000 0.0000 0.0000
0.1250 0.7500 0.3750
0.5000 0.0000 0.5000
0.5000 0.0000 0.0000
0.0000 0.5000 0.0000


# 3
Ti3Sn2Pd4 | Alexandria | PBE | optimized geometry; V = 152.04 Å³ per cell; DOS at the Fermi energy = 0.627 states/eV/atom; energy of formation = -53.7 kJ/mol of atoms
1.0
-4.0985 0.6559 1.8329
-3.7281 -1.1413 -2.3123
0.2819 -7.8145 3.4283
Pd Sn Ti
4 2 3
Direct
0.3333 0.3333 0.0914
0.6667 0.6667 0.9086
0.9999 0.0003 0.6617
0.0001 0.9997 0.3383
0.3332 0.3337 0.7708
0.6668 0.6663 0.2292
0.0000 0.0000 0.0000
0.6666 0.6668 0.5693
0.3334 0.3332 0.4307


What is the V in the second record? 2449.23 Å³ per cell